Record 1
Below is KFe2Ge2 after structural relaxation, with properties calculated at the PBE-GGA level.

Computed properties:
DOS at the Fermi energy: 2.8 states/eV/cell
size of the total moment: 0.78 μB/atom
ΔE_f: 1.76 eV/f.u.
E_tot: -25.50 eV per cell

Cell: 5.575 5.575 5.575 Å, 132.25 132.25 69.84°
Sites, in units of the cell vectors:
K 0.000 0.000 0.000
Fe 0.376 0.376 0.000
Fe 0.624 0.624 0.000
Ge 0.250 0.750 0.500
Ge 0.750 0.250 0.500

---

Record 2
Below is K3FeGe after structural relaxation, with properties calculated at the PBE-GGA level.

Computed properties:
DOS at the Fermi energy: 14.5 states/eV/cell
size of the total moment: 1.00 μB/atom
ΔE_f: 5.07 eV/f.u.
E_tot: -11.31 eV per cell

Cell: 6.174 6.174 6.174 Å, 90.00 90.00 90.00°
Sites, in units of the cell vectors:
K 0.000 0.000 0.500
K 0.000 0.500 0.000
K 0.500 0.000 0.000
Fe 0.000 0.000 0.000
Ge 0.500 0.500 0.500

---

Record 3
Below is K2Fe2Ge after structural relaxation, with properties calculated at the PBE-GGA level.

Computed properties:
DOS at the Fermi energy: 8.2 states/eV/cell
size of the total moment: 1.20 μB/atom
ΔE_f: 5.02 eV/f.u.
E_tot: -37.43 eV per cell

Cell: 9.825 9.825 2.819 Å, 90.00 90.00 90.00°
Sites, in units of the cell vectors:
K 0.208 0.292 0.000
K 0.292 0.792 0.000
K 0.708 0.208 0.000
K 0.792 0.708 0.000
Fe 0.077 0.577 0.500
Fe 0.423 0.077 0.500
Fe 0.577 0.923 0.500
Fe 0.923 0.423 0.500
Ge 0.000 0.000 0.500
Ge 0.500 0.500 0.500

---

Record 4
Below is KMgFeGe2 after structural relaxation, with properties calculated at the PBE-GGA level.

Computed properties:
DOS at the Fermi energy: 2.4 states/eV/cell
size of the total moment: 0.20 μB/atom
ΔE_f: 0.08 eV/f.u.
E_tot: -20.31 eV per cell

Cell: 4.604 4.604 4.933 Å, 90.00 90.00 90.00°
Sites, in units of the cell vectors:
K 0.000 0.000 0.000
Mg 0.500 0.500 0.000
Fe 0.500 0.500 0.500
Ge 0.000 0.500 0.500
Ge 0.500 0.000 0.500